(1)
DFT (PBE) results for a geometry-optimized K2Os structure.

## Properties
ΔH_f (0 K) = 0.763 eV/atom

abc: 9.7441 9.7441 4.1280
angles: 90.00 90.00 132.32
Sites, in units of the cell vectors:
K 0.8922 0.6284 0.7500
K 0.1078 0.3716 0.2500
K 0.6284 0.8922 0.7500
K 0.3716 0.1078 0.2500
Os 0.0697 0.0697 0.7500
Os 0.9303 0.9303 0.2500

(2)
DFT (PBE) results for a geometry-optimized BaY3Ta structure.

## Properties
ΔH_f (0 K) = 1.778 eV/atom

abc: 5.4903 5.4903 5.4903
angles: 90.00 90.00 90.00
Sites, in units of the cell vectors:
Ta 0.5000 0.5000 0.5000
Y 0.5000 0.0000 0.0000
Y 0.0000 0.0000 0.5000
Y 0.0000 0.5000 0.0000
Ba 0.0000 0.0000 0.0000

(3)
DFT (PBE) results for a geometry-optimized Mn2CdIn structure.

## Properties
ΔH_f (0 K) = 0.362 eV/atom

abc: 9.3643 9.3643 9.3643
angles: 18.81 18.81 18.81
Sites, in units of the cell vectors:
Mn 0.5002 0.5002 0.5002
Mn 0.9998 0.9998 0.9998
In 0.7500 0.7500 0.7500
Cd 0.2500 0.2500 0.2500

(4)
DFT (PBE) results for a geometry-optimized Be2RuCl structure.

## Properties
Formation energy from raw total energies = 75 meV per atom

abc: 6.9399 6.9399 6.9399
angles: 24.48 24.48 24.48
Sites, in units of the cell vectors:
Be 0.4961 0.4961 0.4961
Be 0.0039 0.0039 0.0039
Cl 0.2500 0.2500 0.2500
Ru 0.7500 0.7500 0.7500

(5)
DFT (PBE) results for a geometry-optimized TbY5Mg structure.

## Properties
ΔH_f (0 K) = 0.006 eV/atom

abc: 6.5974 6.5972 13.2634
angles: 94.84 85.16 130.83
Sites, in units of the cell vectors:
Mg 0.0000 0.0000 0.0000
Mg 0.0000 0.0000 0.5000
Y 0.8657 0.1344 0.8039
Y 0.7421 0.2578 0.0745
Y 0.4350 0.5650 0.6318
Y 0.7422 0.2576 0.5747
Y 0.4341 0.5658 0.1320
Y 0.2578 0.7424 0.4253
Y 0.2579 0.7422 0.9255
Y 0.5650 0.4350 0.3682
Y 0.5659 0.4342 0.8680
Y 0.1343 0.8656 0.1961
Tb 0.8637 0.1364 0.3043
Tb 0.1363 0.8636 0.6957

(6)
DFT (PBE) results for a geometry-optimized Y2Ho15Er2 structure.

## Properties
ΔH_f (0 K) = 0.279 eV/atom

abc: 8.6669 8.6669 8.6669
angles: 79.54 79.54 79.54
Sites, in units of the cell vectors:
Ho 0.3698 0.8520 0.3698
Ho 0.0000 0.2989 0.7011
Ho 0.2989 0.0000 0.7011
Ho 0.6302 0.1480 0.6302
Ho 0.0000 0.5000 0.0000
Ho 0.5000 0.0000 0.0000
Ho 0.0000 0.0000 0.5000
Ho 0.8520 0.3698 0.3698
Ho 0.1480 0.6302 0.6302
Ho 0.7011 0.0000 0.2989
Ho 0.7011 0.2989 0.0000
Ho 0.3698 0.3698 0.8520
Ho 0.0000 0.7011 0.2989
Ho 0.2989 0.7011 0.0000
Ho 0.6302 0.6302 0.1480
Er 0.0962 0.0962 0.0962
Er 0.9038 0.9038 0.9038
Y 0.6776 0.6776 0.6776
Y 0.3224 0.3224 0.3224

(7)
DFT (PBE) results for a geometry-optimized VCuP structure.

## Properties
ΔH_f (0 K) = -0.131 eV/atom

abc: 3.1009 3.7904 3.7904
angles: 120.00 90.00 90.00
Sites, in units of the cell vectors:
Cu 0.4991 0.3333 0.6667
P 0.5013 0.6667 0.3333
V 0.9997 0.0000 0.0000

(8)
DFT (PBE) results for a geometry-optimized Pm4Pr3Tm structure.

## Properties
ΔH_f (0 K) = 0.002 eV/atom

abc: 7.3436 6.3487 11.8219
angles: 90.00 90.00 90.00
Sites, in units of the cell vectors:
Tm 0.9401 0.3343 0.0000
Tm 0.4401 0.6657 0.5000
Pr 0.6897 0.4994 0.2506
Pr 0.6901 0.8335 0.0000
Pr 0.6897 0.4994 0.7494
Pr 0.1897 0.5006 0.2494
Pr 0.1897 0.5006 0.7506
Pr 0.1901 0.1665 0.5000
Pm 0.9392 0.6666 0.5000
Pm 0.6882 0.1659 0.5000
Pm 0.4391 0.9988 0.2515
Pm 0.1882 0.8341 0.0000
Pm 0.4391 0.9988 0.7485
Pm 0.4392 0.3334 0.0000
Pm 0.9391 0.0012 0.7515
Pm 0.9391 0.0012 0.2485

So what do the calculations give for total magnetic moment? Going down the list: 0.0; 0.0; 7.3; 0.0; 0.0; 0.0; 1.0; 0.0 Bohr magnetons per cell.